A plane-wave DFT calculation with PBE was carried out for an optimized crystal structure of ZnCdBr2.

Lattice parameters (Å, degrees): 7.421 7.421 7.421 90.00 90.00 90.00
Space group F-43m (No. 216)
Inequivalent atoms, fractional coordinates:
Zn: 0.000 0.000 0.000 [4 per cell]
Cd: 0.250 0.250 0.250 [4 per cell]
Br: 0.000 0.000 0.500 [4 per cell]
Br: 0.250 0.250 0.750 [4 per cell]

Calculated values
Polymorph energy (0 for the lowest one): 601 meV per atom
Magnetization: 0.00 μB per formula unit
E_form (uncorrected): 111 meV/atom

A plane-wave DFT calculation with PBE was carried out for an optimized crystal structure of MgZnSb.

Lattice parameters (Å, degrees): 3.280 3.280 12.198 90.00 90.00 90.00
Space group I4mm (No. 107)
Inequivalent atoms, fractional coordinates:
Mg: 0.000 0.000 0.000 [2 per cell]
Zn: 0.000 0.000 0.353 [2 per cell]
Sb: 0.000 0.000 0.684 [2 per cell]

Calculated values
Magnetization: 0.00 μB per formula unit
E_form (uncorrected): 24 meV/atom

A plane-wave DFT calculation with PBE was carried out for an optimized crystal structure of Zr2BiSO.

Lattice parameters (Å, degrees): 4.309 4.309 5.603 90.00 90.00 90.00
Space group P4/mmm (No. 123)
Inequivalent atoms, fractional coordinates:
Zr: 0.000 0.500 0.000 [2 per cell]
Bi: 0.000 0.000 0.500 [1 per cell]
S: 0.500 0.500 0.500 [1 per cell]
O: 0.500 0.500 0.000 [1 per cell]

Calculated values
Magnetization: 0.00 μB per formula unit
E_form (uncorrected): -709 meV/atom

A plane-wave DFT calculation with PBE was carried out for an optimized crystal structure of BaBeV.

Lattice parameters (Å, degrees): 6.832 3.989 11.195 90.00 102.10 90.00
Space group C2/m (No. 12)
Inequivalent atoms, fractional coordinates:
Ba: 0.229 0.000 0.182 [4 per cell]
Be: 0.164 0.500 0.496 [4 per cell]
V: 0.031 0.000 0.591 [4 per cell]

Calculated values
Polymorph energy (0 for the lowest one): 0 meV per atom
Magnetization: 0.00 μB per formula unit

A plane-wave DFT calculation with PBE was carried out for an optimized crystal structure of TaZnHg.

Lattice parameters (Å, degrees): 6.383 6.383 6.383 90.00 90.00 90.00
Space group F-43m (No. 216)
Inequivalent atoms, fractional coordinates:
Ta: 0.000 0.000 0.000 [4 per cell]
Zn: 0.250 0.250 0.250 [4 per cell]
Hg: 0.250 0.250 0.750 [4 per cell]

Calculated values
Polymorph energy (0 for the lowest one): 643 meV per atom
Magnetization: 0.00 μB per formula unit

A plane-wave DFT calculation with PBE was carried out for an optimized crystal structure of MgSiSe.

Lattice parameters (Å, degrees): 4.6968 4.6968 3.0604 90.00 90.00 120.00
Space group P-6m2 (No. 187)
Inequivalent atoms, fractional coordinates:
Mg: 0.0000 0.0000 0.0000 [1 per cell]
Si: 0.3333 0.6667 0.5000 [1 per cell]
Se: 0.6667 0.3333 0.5000 [1 per cell]

Calculated values
Polymorph energy (0 for the lowest one): 808 meV per atom
Magnetization: 0.00 μB per formula unit
E_form (uncorrected): 156 meV/atom

A plane-wave DFT calculation with PBE was carried out for an optimized crystal structure of La4BeMo.

Lattice parameters (Å, degrees): 8.895 8.895 8.895 90.00 90.00 90.00
Space group F-43m (No. 216)
Inequivalent atoms, fractional coordinates:
La: 0.124 0.124 0.124 [16 per cell]
Be: 0.000 0.000 0.500 [4 per cell]
Mo: 0.250 0.250 0.750 [4 per cell]

Calculated values
Magnetization: 1.76 μB per formula unit
Uncorrected energy: -27.56 eV per formula unit

A plane-wave DFT calculation with PBE was carried out for an optimized crystal structure of PmMnSi2Pt5.

Lattice parameters (Å, degrees): 4.083 4.083 10.439 90.00 90.00 90.00
Space group P4/mmm (No. 123)
Inequivalent atoms, fractional coordinates:
Pm: 0.000 0.000 0.000 [1 per cell]
Mn: 0.000 0.000 0.500 [1 per cell]
Si: 0.500 0.500 0.225 [2 per cell]
Pt: 0.000 0.500 0.340 [4 per cell]
Pt: 0.500 0.500 0.000 [1 per cell]

Calculated values
Magnetization: 4.54 μB per formula unit
E_form (uncorrected): -659 meV/atom

A plane-wave DFT calculation with PBE was carried out for an optimized crystal structure of CuHPd3.

Lattice parameters (Å, degrees): 7.9075 7.9075 3.7059 90.00 90.00 120.00
Space group R3m (No. 160, hexagonal axes)
Inequivalent atoms, fractional coordinates:
Cu: 0.0000 0.0000 0.0000 [3 per cell]
H: 0.0000 0.0000 0.5010 [3 per cell]
Pd: 0.2008 0.4016 0.1670 [9 per cell]

Calculated values
Polymorph energy (0 for the lowest one): 215 meV per atom
Magnetization: 0.00 μB per formula unit

A plane-wave DFT calculation with PBE was carried out for an optimized crystal structure of LiMnCl2.

Lattice parameters (Å, degrees): 3.380 6.391 7.297 90.00 90.00 90.00
Space group Cmmm (No. 65)
Inequivalent atoms, fractional coordinates:
Li: 0.000 0.000 0.000 [2 per cell]
Mn: 0.000 0.000 0.500 [2 per cell]
Cl: 0.000 0.500 0.235 [4 per cell]

Calculated values
Polymorph energy (0 for the lowest one): 164 meV per atom
Magnetization: 4.07 μB per formula unit
E_form (uncorrected): -799 meV/atom

A plane-wave DFT calculation with PBE was carried out for an optimized crystal structure of YCr2Rh2.

Lattice parameters (Å, degrees): 7.490 7.490 2.789 90.00 90.00 90.00
Space group P4/mbm (No. 127)
Inequivalent atoms, fractional coordinates:
Y: 0.000 0.000 0.000 [2 per cell]
Cr: 0.103 0.397 0.000 [4 per cell]
Rh: 0.182 0.682 0.500 [4 per cell]

Calculated values
Polymorph energy (0 for the lowest one): 85 meV per atom
Magnetization: 0.00 μB per formula unit

A plane-wave DFT calculation with PBE was carried out for an optimized crystal structure of DyNi3B3.

Lattice parameters (Å, degrees): 5.521 5.521 5.521 90.00 90.00 90.00
Space group Pm-3n (No. 223)
Inequivalent atoms, fractional coordinates:
Dy: 0.000 0.000 0.000 [2 per cell]
Ni: 0.000 0.250 0.500 [6 per cell]
B: 0.000 0.500 0.250 [6 per cell]

Calculated values
Polymorph energy (0 for the lowest one): 80 meV per atom
Magnetization: 0.00 μB per formula unit

Question: The highest magnetization belongs to which entry?
Answer: PmMnSi2Pt5